[1]
LaSIO2 (GGA-PBE, optimized geometry); energy relative to the elements, uncorrected = -460 kJ/mol of formula units; theoretical density = 3.95 g/cm3; size of the total moment = 0.00 μB/cell
1.0
-1.912 -1.216 -3.590
-2.942 -2.060 2.264
-4.332 6.355 0.154
La S O I
1 1 2 1
Cartesian
0.000 0.000 0.000 La
-4.593 1.539 -0.586 S
-1.471 -1.030 1.132 O
-0.956 -0.608 -1.795 O
-2.166 3.177 0.077 I

=====

[2]
CeMg3Hg (GGA-PBE, optimized geometry); E_form = -14.0 kJ per mole of atoms; theoretical density = 5.81 g/cm3; size of the total moment = 3.29 μB/cell
1.0
3.590 0.000 0.000
0.000 9.682 0.000
0.000 0.000 13.597
Hg Ce Mg
4 4 12
Cartesian
2.693 3.414 1.663 Hg
2.693 8.255 5.135 Hg
0.898 1.427 8.462 Hg
0.898 6.268 11.933 Hg
2.693 8.587 13.467 Ce
0.898 1.095 0.130 Ce
0.898 5.936 6.669 Ce
2.693 3.746 6.928 Ce
0.898 0.819 5.692 Mg
0.898 3.362 4.022 Mg
2.693 0.920 3.097 Mg
2.693 6.320 9.575 Mg
0.898 3.921 9.895 Mg
2.693 5.761 3.702 Mg
0.898 8.762 10.500 Mg
0.898 8.203 2.777 Mg
2.693 8.863 7.904 Mg
2.693 4.022 12.491 Mg
0.898 5.661 1.106 Mg
2.693 1.479 10.820 Mg

=====

[3]
Rb2CuSe (GGA-PBE, optimized geometry); energy relative to the elements, uncorrected = -150 kJ/mol of formula units; theoretical density = 2.50 g/cm3; size of the total moment = 0.00 μB/cell
1.0
4.588 0.000 0.000
0.000 10.050 -0.012
-2.294 -2.530 9.038
Rb Cu Se
4 2 2
Cartesian
-0.015 0.004 2.306 Rb
0.015 5.028 2.300 Rb
2.279 2.492 6.726 Rb
2.309 7.517 6.720 Rb
2.260 7.537 -0.009 Cu
2.328 2.512 -0.003 Cu
0.035 2.512 -0.003 Se
4.553 7.537 -0.009 Se

=====

[4]
CaTl2TeO6 (GGA-PBE, optimized geometry); energy relative to the elements, uncorrected = -1212 kJ/mol of formula units; theoretical density = 7.68 g/cm3; size of the total moment = 0.00 μB/cell
1.0
5.817 0.000 -0.006
0.000 5.979 0.000
0.043 0.000 8.364
O Te Tl Ca
12 2 4 2
Cartesian
4.838 4.608 7.908 O
3.952 1.619 4.630 O
4.530 4.898 4.527 O
4.260 1.908 8.011 O
1.330 1.081 3.831 O
2.389 5.746 6.065 O
3.471 0.233 2.294 O
1.600 4.070 0.348 O
1.908 4.360 3.729 O
5.276 3.223 1.880 O
0.584 2.756 6.479 O
1.022 1.370 0.451 O
2.930 0.000 4.179 Te
0.000 2.989 0.000 Te
2.869 2.760 2.064 Tl
0.061 5.749 2.115 Tl
5.799 0.229 6.243 Tl
2.991 3.219 6.294 Tl
2.909 0.000 -0.003 Ca
0.021 2.989 4.182 Ca

=====

[5]
Pm2In2Au15 (GGA-PBE, optimized geometry); E_form = -27.5 kJ per mole of atoms; theoretical density = 14.71 g/cm3; size of the total moment = 0.00 μB/cell
1.0
7.405 0.110 0.098
1.069 7.329 0.098
1.069 0.939 7.269
Au In Pm
15 2 2
Cartesian
0.535 3.664 0.049 Au
3.995 3.506 6.189 Au
5.468 0.363 2.291 Au
3.007 0.685 5.076 Au
7.014 3.111 2.772 Au
3.995 6.551 2.772 Au
1.069 2.893 5.076 Au
5.468 2.317 0.098 Au
3.703 0.055 0.049 Au
2.530 5.265 4.692 Au
3.007 5.121 0.098 Au
0.535 0.469 3.634 Au
5.549 1.826 4.692 Au
1.069 5.375 2.291 Au
5.549 4.870 1.275 Au
0.986 0.865 0.771 In
8.558 7.511 6.693 In
6.194 5.436 4.844 Pm
3.350 2.941 2.620 Pm

=====

[6]
Te2PbICl (GGA-PBE, optimized geometry); energy relative to the elements, uncorrected = 203 kJ/mol of formula units; E above lowest polymorph = 55 meV per atom; theoretical density = 4.53 g/cm3; size of the total moment = 3.51 μB/cell
1.0
-1.854 0.371 5.845
-1.126 -6.039 0.026
5.671 -1.050 1.866
Te Cl I Pb
2 1 1 1
Cartesian
-0.563 -3.019 0.013 Te
-0.927 0.186 2.922 Te
1.345 -3.359 3.868 Cl
2.836 -0.525 0.933 I
0.000 0.000 0.000 Pb

=====

> Which value of size of the total moment does entry 4 give?

0.00 μB/cell

=====

> theoretical density of number 6 (Te2PbICl)?

4.53 g/cm3

=====

> What is the theoretical density in the second record?

5.81 g/cm3